Computed, not measured: a geometry-optimized Cd2Sb2Br structure at the GGA-PBE level of DFT.

Geometry as POSCAR:
```
Cd2Sb2Br
1.0
-3.683 2.622 -2.847
-6.079 0.396 3.238
1.268 7.214 4.981
Br Sb Cd
2 4 4
direct
0.118 0.265 0.662
0.882 0.735 0.338
0.449 0.602 0.776
0.162 0.175 0.210
0.551 0.398 0.224
0.838 0.825 0.790
0.675 0.151 0.976
0.345 0.809 0.458
0.325 0.849 0.024
0.655 0.191 0.542
```

Energy relative to the lowest polymorph listed for this composition (meV per atom): 0
Total magnetization (μB/f.u.): 0.00
SG: P-1 (2)